# PBE-GGA Nd2TmAu2, relaxed
data_Nd2TmAu2
_chemical_formula_sum 'Nd4 Tm2 Au4'
_symmetry_space_group_name_H-M 'I m m m'
_symmetry_Int_Tables_number 71
_symmetry_space_group_name_Hall '-I 2 2'
_cell_length_a 4.001
_cell_length_b 7.077
_cell_length_c 9.754
_cell_angle_alpha 90.00
_cell_angle_beta 90.00
_cell_angle_gamma 90.00
loop_
_atom_site_label
_atom_site_type_symbol
_atom_site_fract_x
_atom_site_fract_y
_atom_site_fract_z
Nd1 Nd 0.000 0.000 0.199
Tm1 Tm 0.000 0.500 0.000
Au1 Au 0.000 0.290 0.500
# magnetization: 0.00 μB/f.u.
# E above lowest polymorph: 0.166 eV per formula unit
# ρ: 10.24 Mg/m³
# ΔE_f: -0.62 eV per atom
# N(E_F): 1.300 states/eV per atom


# PBE-GGA NdTmAu, relaxed
data_NdTmAu
_chemical_formula_sum 'Nd4 Tm4 Au4'
_symmetry_space_group_name_H-M 'P 1 21/c 1'
_symmetry_Int_Tables_number 14
_cell_length_a 7.091
_cell_length_b 6.633
_cell_length_c 7.282
_cell_angle_alpha 90.00
_cell_angle_beta 97.30
_cell_angle_gamma 90.00
loop_
_symmetry_equiv_pos_as_xyz
'x,y,z'
'-x,-y,-z'
'-x,y+1/2,-z+1/2'
'x,-y+1/2,z+1/2'
loop_
_atom_site_label
_atom_site_type_symbol
_atom_site_fract_x
_atom_site_fract_y
_atom_site_fract_z
Nd1 Nd 0.186 0.167 0.490
Tm1 Tm 0.390 0.662 0.670
Au1 Au 0.129 0.591 0.341
# magnetization: 0.00 μB/f.u.
# E above lowest polymorph: 0.437 eV per formula unit
# ρ: 9.97 Mg/m³
# ΔE_f: -0.46 eV per atom
# N(E_F): 1.261 states/eV per atom


# PBE-GGA Nd2TmAu, relaxed
data_Nd2TmAu
_chemical_formula_sum 'Nd6 Tm3 Au3'
_symmetry_space_group_name_H-M 'R -3 m'
_symmetry_Int_Tables_number 166
_symmetry_space_group_name_Hall '-R 3 2"'
_cell_length_a 3.5221
_cell_length_b 3.5221
_cell_length_c 34.4325
_cell_angle_alpha 90.00
_cell_angle_beta 90.00
_cell_angle_gamma 120.00
loop_
_atom_site_label
_atom_site_type_symbol
_atom_site_fract_x
_atom_site_fract_y
_atom_site_fract_z
Nd1 Nd 0.0000 0.0000 0.0981
Tm1 Tm 0.0000 0.0000 0.0000
Au1 Au 0.0000 0.0000 0.5000
# magnetization: 0.00 μB/f.u.
# E above lowest polymorph: 1.374 eV per formula unit
# ρ: 8.81 Mg/m³
# ΔE_f: 0.01 eV per atom
# N(E_F): 1.573 states/eV per atom


# PBE-GGA Nd2Tm2Au3, relaxed
data_Nd2Tm2Au3
_chemical_formula_sum 'Nd8 Tm8 Au12'
_symmetry_space_group_name_H-M 'I 21 3'
_symmetry_Int_Tables_number 199
_symmetry_space_group_name_Hall 'I 2b 2c 3'
_cell_length_a 9.017
_cell_length_b 9.017
_cell_length_c 9.017
_cell_angle_alpha 90.00
_cell_angle_beta 90.00
_cell_angle_gamma 90.00
loop_
_atom_site_label
_atom_site_type_symbol
_atom_site_fract_x
_atom_site_fract_y
_atom_site_fract_z
Nd1 Nd 0.074 0.074 0.074
Tm1 Tm 0.183 0.317 0.683
Au1 Au 0.000 0.250 0.393
# magnetization: 0.00 μB/f.u.
# ρ: 11.03 Mg/m³
# ΔE_f: -0.64 eV per atom
# N(E_F): 1.162 states/eV per atom


# PBE-GGA NdTm3Au4, relaxed
data_NdTm3Au4
_chemical_formula_sum 'Nd1 Tm3 Au4'
_symmetry_space_group_name_H-M 'P 4/m m m'
_symmetry_Int_Tables_number 123
_symmetry_space_group_name_Hall '-P 4 2'
_cell_length_a 5.078
_cell_length_b 5.078
_cell_length_c 7.214
_cell_angle_alpha 90.00
_cell_angle_beta 90.00
_cell_angle_gamma 90.00
loop_
_atom_site_label
_atom_site_type_symbol
_atom_site_fract_x
_atom_site_fract_y
_atom_site_fract_z
Nd1 Nd 0.000 0.000 0.000
Tm1 Tm 0.000 0.000 0.500
Tm2 Tm 0.500 0.500 0.000
Tm3 Tm 0.500 0.500 0.500
Au1 Au 0.000 0.500 0.264
# magnetization: 0.00 μB/f.u.
# ρ: 12.85 Mg/m³
# ΔE_f: -0.85 eV per atom
# N(E_F): 0.521 states/eV per atom


# PBE-GGA Nd3Tm4Au4, relaxed
data_Nd3Tm4Au4
_chemical_formula_sum 'Nd6 Tm8 Au8'
_symmetry_space_group_name_H-M 'I m m m'
_symmetry_Int_Tables_number 71
_symmetry_space_group_name_Hall '-I 2 2'
_cell_length_a 4.835
_cell_length_b 7.765
_cell_length_c 15.664
_cell_angle_alpha 90.00
_cell_angle_beta 90.00
_cell_angle_gamma 90.00
loop_
_atom_site_label
_atom_site_type_symbol
_atom_site_fract_x
_atom_site_fract_y
_atom_site_fract_z
Nd1 Nd 0.000 0.000 0.000
Nd2 Nd 0.000 0.500 0.104
Tm1 Tm 0.000 0.288 0.327
Au1 Au 0.000 0.000 0.208
Au2 Au 0.000 0.191 0.500
# magnetization: 0.00 μB/f.u.
# ρ: 10.71 Mg/m³
# ΔE_f: -0.60 eV per atom
# N(E_F): 0.853 states/eV per atom